Here is crystalline LuGaNi at its relaxed geometry from the Open Quantum Materials Database. Energies are from PBE-GGA.

The value obtained for the total energy is -5.05 eV per atom. The calculated density is 9.84 g/cm3. The magnetic moment is 0.00 μB/f.u.

It has space group Pnma (No. 62), with a = 6.681 Å, b = 4.241 Å, c = 7.228 Å, α = 90.00°, β = 90.00° and γ = 90.00°. The distinct sites, in fractional coordinates, are Lu at (0.015, 0.250, 0.197), Ga at (0.180, 0.250, 0.580) and Ni at (0.210, 0.750, 0.407).